# Nb2FeMo

A relaxed Nb2FeMo crystal (PBE, Alexandria).

abc: 3.188 3.188 6.237
angles: 90.00 90.00 90.00
Positions (direct):
1 Nb 0.000 0.000 0.244
2 Nb 0.000 0.000 0.756
3 Fe 0.500 0.500 0.000
4 Mo 0.500 0.500 0.500

Calculated values
- total DFT energy (no corrections) (eV/atom) = -9.931
- space group = P4/mmm
- energy relative to the elements (eV per atom) = -0.07
- density (g/cm³) = 8.84
- total magnetization (μB/f.u.) = 0.873